This record from the Open Quantum Materials Database describes a relaxed structure of CoAgSnW. The functional is PBE.

## Properties
Total magnetization   2.00 μB/f.u.
Uncorrected energy   -24.19 eV per cell
Space-group type   F-43m, No. 216
ΔE to the lowest computed polymorph   0 meV/atom

Structure (CIF):
```
data_CoAgSnW
_chemical_formula_sum 'Co1 Ag1 Sn1 W1'
_cell_length_a 4.5092
_cell_length_b 4.5092
_cell_length_c 4.5092
_cell_angle_alpha 60.00
_cell_angle_beta 60.00
_cell_angle_gamma 60.00
_space_group_name_H-M_alt 'P 1'
_space_group_IT_number 1
_space_group_name_Hall 'P 1'
loop_
_atom_site_label
_atom_site_fract_x
_atom_site_fract_y
_atom_site_fract_z
_atom_site_occupancy
Co1 0.0000 0.0000 0.0000 1
Ag1 0.5000 0.5000 0.5000 1
Sn1 0.7500 0.7500 0.7500 1
W1 0.2500 0.2500 0.2500 1
```